Compound: Zn2SiBr
Source: the Alexandria database
Functional: PBE
Structure: relaxed

Geometry as POSCAR:
```
Zn2SiBr
1.0
-1.9658 -1.2440 -6.8410
1.6539 -1.8548 -6.7849
-0.6655 -4.4620 -5.6443
Si Zn Br
1 2 1
Direct
0.7500 0.7500 0.7500
0.4856 0.4856 0.4856
0.0144 0.0144 0.0144
0.2500 0.2500 0.2500
```

Computed properties:
Uncorrected formation energy, eV/atom: 0.0436
Relative energy among the computed polymorphs, meV/atom: 20

***

Compound: Zn2SiBr
Source: the Alexandria database
Functional: PBE
Structure: relaxed

Geometry as POSCAR:
```
Zn2SiBr
1.0
4.7693 0.0108 0.0024
-1.6292 4.4824 0.0024
1.2519 1.7913 3.8497
Br Zn Si
1 2 1
Direct
0.5000 0.0000 0.5000
0.5000 0.5000 0.0000
0.0000 0.0000 0.0000
0.0000 0.5000 0.5000
```

Computed properties:
Uncorrected formation energy, eV/atom: 0.2724
Relative energy among the computed polymorphs, meV/atom: 249

***

Compound: Zn2SiBr
Source: the Alexandria database
Functional: PBE
Structure: relaxed

Geometry as POSCAR:
```
Zn2SiBr
1.0
3.5691 0.0000 0.0000
0.0000 3.5692 0.0000
0.0000 0.0000 7.0345
Zn Br Si
2 1 1
Direct
0.5000 0.5000 0.2631
0.0000 0.0000 0.8665
0.0000 0.0000 0.4465
0.5000 0.5000 0.9239
```

Computed properties:
Uncorrected formation energy, eV/atom: 0.0234
Relative energy among the computed polymorphs, meV/atom: 0

***

Compound: Zn2SiBr
Source: the Alexandria database
Functional: PBE
Structure: relaxed

Geometry as POSCAR:
```
Zn2SiBr
1.0
-2.0292 -0.4859 2.7293
2.6073 -0.4533 1.8578
0.2129 6.9202 1.3903
Si Zn Br
1 2 1
Direct
0.5000 0.7500 0.7500
0.0000 0.2497 0.5508
0.0000 0.2503 0.9492
0.5000 0.2500 0.2500
```

Computed properties:
Uncorrected formation energy, eV/atom: 0.1120
Relative energy among the computed polymorphs, meV/atom: 89